The following is a PBE-GGA calculation of a geometry-optimized Tb2AgC structure, from Alexandria.

Summary:
energy above the lowest structure with this stoichiometry	1.2	kJ per mole of atoms
Fermi-level density of states	0.743	states/eV per atom

a = 3.6734 Å, b = 6.3164 Å, c = 7.7728 Å
α = 106.45°, β = 90.00°, γ = 90.00°
Closest atoms and distances in Å follow each position.
Positions (direct):
Tb 0.2500 0.0176 0.8138  3 C 2.51
Tb 0.7500 0.9824 0.1862  3 C 2.51
Tb 0.2500 0.4767 0.1750  3 C 2.49-2.51
Tb 0.7500 0.5233 0.8250  3 C 2.49-2.51
Ag 0.7500 0.7062 0.4979  6 Tb 3.08-3.36, 2 Ag 3.19
Ag 0.2500 0.2938 0.5021  6 Tb 3.08-3.36, 2 Ag 3.19
C 0.7500 0.2444 0.9960  6 Tb 2.49-2.51
C 0.2500 0.7556 0.0040  6 Tb 2.49-2.51



The following is a PBE-GGA calculation of a geometry-optimized Tb2AgC structure, from Alexandria.

Summary:
energy above the lowest structure with this stoichiometry	1.6	kJ per mole of atoms
Fermi-level density of states	0.840	states/eV per atom

a = 3.6700 Å, b = 3.6700 Å, c = 7.6965 Å
α = 76.21°, β = 76.21°, γ = 60.00°
Closest atoms and distances in Å follow each position.
Positions (direct):
C 0.0000 0.0000 0.0000  6 Tb 2.51
Tb 0.7271 0.7271 0.8186  3 C 2.51
Tb 0.2729 0.2729 0.1814  3 C 2.51
Ag 0.5000 0.5000 0.5000  6 Tb 3.17



The following is a PBE-GGA calculation of a geometry-optimized Tb6Ag2C structure, from Alexandria.

Summary:
energy	-4.95	eV per atom
Fermi-level density of states	1.134	states/eV per atom

a = 6.8451 Å, b = 7.0624 Å, c = 9.7368 Å
α = 90.00°, β = 89.29°, γ = 90.00°
Closest atoms and distances in Å follow each position.
Positions (direct):
Tb 0.0970 0.0154 0.2574  1 C 2.45
Tb 0.1991 0.2814 0.5490  1 C 2.46
Tb 0.2154 0.2956 0.9509  1 C 2.48
Tb 0.2846 0.7956 0.5491  1 C 2.48
Tb 0.3009 0.7814 0.9510  1 C 2.46
Tb 0.4030 0.5154 0.2426  1 C 2.45
Tb 0.9030 0.9846 0.7426  1 C 2.45
Tb 0.8009 0.7186 0.4510  1 C 2.46
Tb 0.7846 0.7044 0.0491  1 C 2.48
Tb 0.7154 0.2044 0.4509  1 C 2.48
Tb 0.6991 0.2186 0.0490  1 C 2.46
Tb 0.5970 0.4846 0.7574  1 C 2.45
Ag 0.0222 0.5552 0.7504  6 Tb 2.95-3.18
Ag 0.4778 0.0552 0.7496  6 Tb 2.95-3.18
Ag 0.5222 0.9448 0.2504  6 Tb 2.95-3.18
Ag 0.9778 0.4448 0.2496  6 Tb 2.95-3.18
C 0.5000 0.5000 0.0000  6 Tb 2.45-2.48
C 0.0000 0.0000 0.5000  6 Tb 2.45-2.48



The following is a PBE-GGA calculation of a geometry-optimized TbTh2AgC structure, from Alexandria.

Summary:
energy	-6.43	eV per atom
Fermi-level density of states	1.291	states/eV per atom

a = 5.0525 Å, b = 5.0525 Å, c = 4.9393 Å
α = 90.00°, β = 90.00°, γ = 90.00°
Closest atoms and distances in Å follow each position.
Positions (direct):
Tb 0.0000 0.0000 0.5000  2 C 2.47
Th 0.0000 0.5000 0.0000  2 C 2.53
Th 0.5000 0.0000 0.0000  2 C 2.53
Ag 0.5000 0.5000 0.5000  8 Th 3.53, 4 Tb 3.57
C 0.0000 0.0000 0.0000  2 Tb 2.47, 4 Th 2.53



The following is a PBE-GGA calculation of a geometry-optimized TbTm2AgC structure, from Alexandria.

Summary:
energy	-5.37	eV per atom
Fermi-level density of states	1.047	states/eV per atom

a = 4.7573 Å, b = 4.7572 Å, c = 5.0522 Å
α = 90.00°, β = 90.00°, γ = 90.00°
Closest atoms and distances in Å follow each position.
Positions (direct):
Tb 0.0000 0.0000 0.4916  2 C 2.42-2.63
Tm 0.0000 0.5000 0.9945  2 C 2.38
Tm 0.5000 0.0000 0.9946  2 C 2.38
Ag 0.5000 0.5000 0.5072  4 Tb 3.36, 8 Tm 3.42-3.52
C 0.0000 0.0000 0.0121  4 Tm 2.38, 2 Tb 2.42-2.63



The following is a PBE-GGA calculation of a geometry-optimized Tb2YAgC structure, from Alexandria.

Summary:
energy	-5.75	eV per atom
Fermi-level density of states	1.401	states/eV per atom

a = 4.9433 Å, b = 4.9432 Å, c = 4.8704 Å
α = 90.00°, β = 90.00°, γ = 90.00°
Closest atoms and distances in Å follow each position.
Positions (direct):
Tb 0.0000 0.5000 0.9995  2 C 2.47
Tb 0.5000 0.0000 0.9996  2 C 2.47
Y 0.0000 0.0000 0.4996  2 C 2.43-2.44
Ag 0.5000 0.5000 0.5009  8 Tb 3.47, 4 Y 3.50
C 0.0000 0.0000 0.0004  2 Y 2.43-2.44, 4 Tb 2.47



The following is a PBE-GGA calculation of a geometry-optimized Tc3AgC structure, from Alexandria.

Summary:
energy above the lowest structure with this stoichiometry	0.0	kJ per mole of atoms
Fermi-level density of states	0.700	states/eV per atom

a = 4.0986 Å, b = 4.0986 Å, c = 4.0986 Å
α = 90.00°, β = 90.00°, γ = 90.00°
Closest atoms and distances in Å follow each position.
Positions (direct):
C 0.0000 0.0000 0.0000  6 Tc 2.05
Tc 0.0000 0.5000 0.0000  2 C 2.05
Tc 0.0000 0.0000 0.5000  2 C 2.05
Tc 0.5000 0.0000 0.0000  2 C 2.05
Ag 0.5000 0.5000 0.5000  12 Tc 2.90



The following is a PBE-GGA calculation of a geometry-optimized Tc2AgC structure, from Alexandria.

Summary:
energy	-7.07	eV per atom
Fermi-level density of states	2.284	states/eV per atom

a = 4.8841 Å, b = 4.8841 Å, c = 6.7112 Å
α = 68.66°, β = 68.66°, γ = 90.00°
Closest atoms and distances in Å follow each position.
Positions (direct):
C 0.5000 0.5000 0.0000  4 Tc 1.97
C 0.2500 0.7500 0.5000  4 Tc 1.97
Tc 0.4876 0.1250 0.2500  2 C 1.97
Tc 0.2624 0.6250 0.2500  2 C 1.97
Tc 0.3750 0.5124 0.7500  2 C 1.97
Tc 0.8750 0.7376 0.7500  2 C 1.97
Ag 0.0000 0.0000 0.0000  4 Tc 2.67
Ag 0.7500 0.2500 0.5000  4 Tc 2.67



The following is a PBE-GGA calculation of a geometry-optimized Tc3AgC structure, from Alexandria.

Summary:
energy above the lowest structure with this stoichiometry	320.2	kJ per mole of atoms
Fermi-level density of states	0.618	states/eV per atom

a = 5.0305 Å, b = 5.0305 Å, c = 5.0305 Å
α = 90.00°, β = 90.00°, γ = 90.00°
Closest atoms and distances in Å follow each position.
Positions (direct):
C 0.5000 0.5000 0.5000  12 Tc 3.56
Tc 0.0000 0.5000 0.0000  2 Ag 2.52
Tc 0.0000 0.0000 0.5000  2 Ag 2.52
Tc 0.5000 0.0000 0.0000  2 Ag 2.52
Ag 0.0000 0.0000 0.0000  6 Tc 2.52



The following is a PBE-GGA calculation of a geometry-optimized TcAg3C structure, from Alexandria.

Summary:
energy above the lowest structure with this stoichiometry	0.0	kJ per mole of atoms
Fermi-level density of states	0.907	states/eV per atom

a = 4.3230 Å, b = 4.3230 Å, c = 4.3230 Å
α = 90.00°, β = 90.00°, γ = 90.00°
Closest atoms and distances in Å follow each position.
Positions (direct):
C 0.0000 0.0000 0.0000  6 Ag 2.16
Tc 0.5000 0.5000 0.5000  12 Ag 3.06
Ag 0.0000 0.5000 0.0000  2 C 2.16
Ag 0.0000 0.0000 0.5000  2 C 2.16
Ag 0.5000 0.0000 0.0000  2 C 2.16



The following is a PBE-GGA calculation of a geometry-optimized TcAg3C structure, from Alexandria.

Summary:
energy above the lowest structure with this stoichiometry	141.4	kJ per mole of atoms
Fermi-level density of states	1.088	states/eV per atom

a = 5.2088 Å, b = 5.2088 Å, c = 5.2088 Å
α = 90.00°, β = 90.00°, γ = 90.00°
Closest atoms and distances in Å follow each position.
Positions (direct):
C 0.5000 0.5000 0.5000  12 Ag 3.68
Tc 0.0000 0.0000 0.0000  6 Ag 2.60
Ag 0.0000 0.5000 0.0000  2 Tc 2.60
Ag 0.0000 0.0000 0.5000  2 Tc 2.60
Ag 0.5000 0.0000 0.0000  2 Tc 2.60



The following is a PBE-GGA calculation of a geometry-optimized VTc2AgC structure, from Alexandria.

Summary:
energy	-5.87	eV per atom
Fermi-level density of states	0.702	states/eV per atom

a = 4.4067 Å, b = 4.8660 Å, c = 4.4067 Å
α = 90.00°, β = 90.00°, γ = 90.00°
Closest atoms and distances in Å follow each position.
Positions (direct):
C 0.5000 0.5000 0.5000  4 Ag 3.12, 8 Tc 3.28
Tc 0.0000 0.0000 0.5000  2 V 2.20
Tc 0.5000 0.0000 0.0000  2 V 2.20
Ag 0.0000 0.5000 0.0000  2 V 2.43
V 0.0000 0.0000 0.0000  4 Tc 2.20, 2 Ag 2.43



The following is a PBE-GGA calculation of a geometry-optimized Y2TcAgC structure, from Alexandria.

Summary:
energy	-7.34	eV per atom
Fermi-level density of states	0.651	states/eV per atom

a = 5.0061 Å, b = 5.0061 Å, c = 3.9566 Å
α = 90.00°, β = 90.00°, γ = 90.00°
Closest atoms and distances in Å follow each position.
Positions (direct):
Y 0.0000 0.5000 0.0000  2 C 2.50
Y 0.5000 0.0000 0.0000  2 C 2.50
C 0.0000 0.0000 0.0000  2 Tc 1.98
Tc 0.0000 0.0000 0.5000  2 C 1.98
Ag 0.5000 0.5000 0.5000  8 Y 3.19, 4 Tc 3.54



The following is a PBE-GGA calculation of a geometry-optimized Zr2TcAgC structure, from Alexandria.

Summary:
energy	-8.19	eV per atom
Fermi-level density of states	0.418	states/eV per atom

a = 4.6316 Å, b = 4.6316 Å, c = 3.9749 Å
α = 90.00°, β = 90.00°, γ = 90.00°
Closest atoms and distances in Å follow each position.
Positions (direct):
Zr 0.0000 0.5000 0.0000  2 C 2.32
Zr 0.5000 0.0000 0.0000  2 C 2.32
C 0.0000 0.0000 0.0000  2 Tc 1.99
Tc 0.0000 0.0000 0.5000  2 C 1.99
Ag 0.5000 0.5000 0.5000  8 Zr 3.05, 4 Tc 3.28



Values for M_tot, μB/cell, ordered as above
0.85 0.54 0.00 0.00 0.00 0.00 0.00 0.00 10.02 3.49 5.34 1.20 0.00 0.00